PBE-GGA SmInPb3, relaxed; total DFT energy (no corrections) = -38.172 eV for the cell shown; ΔE_f = -101 meV per atom; polymorph energy (0 for the lowest one) = 106 meV/atom; SG = Pmmn (59)
1.0
4.945 0.000 0.000
0.000 6.621 0.000
0.000 0.000 9.931
Sm In Pb
2 2 6
Direct
0.250 0.250 0.094
0.750 0.750 0.906
0.250 0.750 0.441
0.750 0.250 0.559
0.250 0.000 0.730
0.250 0.500 0.730
0.250 0.750 0.108
0.750 0.000 0.270
0.750 0.250 0.892
0.750 0.500 0.270